{
  "formula": "Sc2TaRu",
  "functional": "PBE-GGA",
  "state": "optimized geometry",
  "delta_e_f_mev_per_atom": 6,
  "relative_energy_kcal_per_mol_atoms": 6.136,
  "lattice_angstrom": [[-2.554, -3.612, -1.551], [3.293, -1.757, -1.330], [0.443, -1.814, 3.494]],
  "species": ["Ru", "Ta", "Sc", "Sc"],
  "fractional_positions": [[0.500, 0.000, 0.500], [0.500, 0.500, 0.000], [0.000, 0.000, 0.000], [0.000, 0.500, 0.500]]
}

{
  "formula": "Sc2TaRu",
  "functional": "PBE-GGA",
  "state": "optimized geometry",
  "delta_e_f_mev_per_atom": 16,
  "relative_energy_kcal_per_mol_atoms": 6.366,
  "lattice_angstrom": [[3.083, 0.000, 0.000], [0.000, 4.289, 0.000], [0.000, 0.000, 5.579]],
  "species": ["Ru", "Ta", "Sc", "Sc"],
  "fractional_positions": [[0.500, 0.500, 0.750], [0.500, 0.500, 0.250], [0.000, 0.000, 0.989], [0.000, 0.000, 0.511]]
}

{
  "formula": "Sc2TaRu2",
  "functional": "PBE-GGA",
  "state": "optimized geometry",
  "delta_e_f_mev_per_atom": -431,
  "relative_energy_kcal_per_mol_atoms": 0.000,
  "lattice_angstrom": [[3.113, 0.000, 0.000], [0.000, 3.080, 0.584], [0.000, -0.276, 9.879]],
  "species": ["Ru", "Ru", "Sc", "Sc", "Ta"],
  "fractional_positions": [[0.500, 0.581, 0.837], [0.500, 0.419, 0.163], [0.000, 0.832, 0.335], [0.000, 0.168, 0.665], [0.000, 0.000, 0.000]]
}